1.
A relaxed PrAl3Au crystal, computed with PBE.

abc: 4.333 4.333 6.287
angles: 110.15 110.15 89.99
Atoms (fractional coordinates):
Au 0.319 0.319 0.343
Pr 0.682 0.682 0.071
Al 0.944 0.444 0.593
Al 0.092 0.092 0.889
Al 0.444 0.944 0.593

Values from the calculation:
Total energy: -22.5 eV for the cell shown



2.
A relaxed FeAs2Pd2 crystal, computed with PBE.

abc: 5.794 5.794 5.794
angles: 136.89 136.89 62.61
Last column: magnetic moment on the atom in μB.
Atoms (fractional coordinates):
As 0.380 0.380 0.000  0.01
As 0.620 0.620 0.000  0.01
Pd 0.250 0.750 0.500  0.01
Pd 0.750 0.250 0.500  0.01
Fe 0.000 0.000 0.000  3.19

Values from the calculation:
Total energy: -26.9 eV for the cell shown



3.
A relaxed CsCuMoPt crystal, computed with PBE.

abc: 4.735 4.735 4.735
angles: 60.00 60.00 60.00
Atoms (fractional coordinates):
Cs 0.000 0.000 0.000
Cu 0.750 0.750 0.750
Mo 0.250 0.250 0.250
Pt 0.500 0.500 0.500

Values from the calculation:
Energy above the lowest structure with this stoichiometry: 0 meV/atom



4.
A relaxed ThS crystal, computed with PBE.

abc: 4.039 4.039 4.039
angles: 120.00 90.00 120.00
Atoms (fractional coordinates):
Th 0.000 0.000 0.000
S 0.500 0.000 0.500

Values from the calculation:
Total energy: -15.2 eV for the cell shown



5.
A relaxed BaLiTm crystal, computed with PBE.

abc: 5.468 5.468 5.468
angles: 60.00 60.00 60.00
Atoms (fractional coordinates):
Ba 0.250 0.250 0.250
Li 0.750 0.750 0.750
Tm 0.000 0.000 0.000

Values from the calculation:
Total energy: -6.1 eV for the cell shown



6.
A relaxed Ho6Fe23 crystal, computed with PBE.

abc: 8.400 8.400 8.400
angles: 120.00 90.00 120.00
Last column: magnetic moment on the atom in μB.
Atoms (fractional coordinates):
Fe 0.974 0.649 0.325  2.20
Fe 0.325 0.649 0.974  2.19
Fe 0.364 0.243 0.121  2.45
Fe 0.000 0.000 0.000  2.34
Fe 0.325 0.649 0.675  2.19
Fe 0.636 0.757 0.879  2.45
Fe 0.121 0.243 0.879  2.44
Fe 0.675 0.649 0.325  2.20
Fe 0.000 0.500 0.000  2.05
Fe 0.879 0.757 0.636  2.44
Fe 0.675 0.351 0.026  2.18
Fe 0.879 0.243 0.121  2.45
Fe 0.879 0.757 0.121  2.44
Fe 0.121 0.757 0.879  2.45
Fe 0.325 0.351 0.675  2.20
Fe 0.675 0.351 0.325  2.19
Fe 0.000 0.500 0.500  2.04
Fe 0.500 0.500 0.000  2.05
Fe 0.500 0.000 0.000  2.01
Fe 0.121 0.243 0.364  2.44
Fe 0.000 0.000 0.500  2.08
Fe 0.500 0.500 0.500  2.05
Fe 0.026 0.351 0.675  2.20
Ho 0.291 0.000 0.291  -0.41
Ho 0.291 0.000 0.709  -0.41
Ho 0.709 0.000 0.709  -0.41
Ho 0.709 0.417 0.709  -0.41
Ho 0.709 0.000 0.291  -0.41
Ho 0.291 0.583 0.291  -0.41

Values from the calculation:
Energy of formation from the pure elements: -57.1 meV/atom



| no. | theoretical density (g cm⁻³) | total magnetization (μB/cell) |
| --- | --- | --- |
| 1 | 6.7 | 0.005 |
| 2 | 7.7 | 3.283 |
| 3 | 10.8 | 0.007 |
| 4 | 9.4 | 0.001 |
| 5 | 4.5 | 0.000 |
| 6 | 9.0 | 49.429 |